(1)
# LaZn2As (GGA-PBEsol, relaxed)
data_LaZn2As
_symmetry_space_group_name_H-M 'P 4 m m'
_symmetry_Int_Tables_number 99
_cell_length_a 3.7091
_cell_length_b 3.7091
_cell_length_c 6.2800
_cell_angle_alpha 90.00
_cell_angle_beta 90.00
_cell_angle_gamma 90.00
loop_
_symmetry_equiv_pos_as_xyz
'x,y,z'
'-y,x,z'
'-x,-y,z'
'y,-x,z'
'-x,y,z'
'y,x,z'
'x,-y,z'
'-y,-x,z'
loop_
_atom_site_label
_atom_site_type_symbol
_atom_site_fract_x
_atom_site_fract_y
_atom_site_fract_z
La1 La 0.0000 0.0000 0.0000
Zn1 Zn 0.0000 0.0000 0.4992
Zn2 Zn 0.5000 0.5000 0.3667
As1 As 0.5000 0.5000 0.7665
# Total energy = -15.007 eV per cell
# Crystal system = tetragonal
# Theoretical density = 6.6 Mg/m³

(2)
# LaZn2As (GGA-PBEsol, relaxed)
data_LaZn2As
_symmetry_space_group_name_H-M 'R 3 m'
_symmetry_Int_Tables_number 160
_symmetry_space_group_name_Hall 'R 3 -2"'
_cell_length_a 4.3228
_cell_length_b 4.3228
_cell_length_c 15.5374
_cell_angle_alpha 90.00
_cell_angle_beta 90.00
_cell_angle_gamma 120.00
loop_
_atom_site_label
_atom_site_type_symbol
_atom_site_fract_x
_atom_site_fract_y
_atom_site_fract_z
La1 La 0.0000 0.0000 0.0000
Zn1 Zn 0.0000 0.0000 0.4741
Zn2 Zn 0.0000 0.0000 0.7779
As1 As 0.0000 0.0000 0.2127
# Total energy = -47.389 eV per cell
# Crystal system = trigonal
# Theoretical density = 6.8 Mg/m³

(3)
# LaZn3As3 (GGA-PBEsol, relaxed)
data_LaZn3As3
_symmetry_space_group_name_H-M 'P n m a'
_symmetry_Int_Tables_number 62
_cell_length_a 12.4776
_cell_length_b 4.0880
_cell_length_c 11.3325
_cell_angle_alpha 90.00
_cell_angle_beta 90.00
_cell_angle_gamma 90.00
loop_
_symmetry_equiv_pos_as_xyz
'x,y,z'
'-x,-y,-z'
'-x+1/2,-y,z+1/2'
'x+1/2,y,-z+1/2'
'x+1/2,-y+1/2,-z+1/2'
'-x+1/2,y+1/2,z+1/2'
'-x,y+1/2,-z'
'x,-y+1/2,z'
loop_
_atom_site_label
_atom_site_type_symbol
_atom_site_fract_x
_atom_site_fract_y
_atom_site_fract_z
La1 La 0.1648 0.2500 0.0552
Zn1 Zn 0.0472 0.2500 0.7655
Zn2 Zn 0.0659 0.7500 0.4627
Zn3 Zn 0.2252 0.2500 0.3470
As1 As 0.0801 0.7500 0.8829
As2 As 0.1402 0.2500 0.5672
As3 As 0.1512 0.7500 0.2599
# Total energy = -117.549 eV per cell
# Crystal system = orthorhombic
# Theoretical density = 6.4 Mg/m³

(4)
# La2ZnAs4 (GGA-PBEsol, relaxed)
data_La2ZnAs4
_symmetry_space_group_name_H-M 'I -4 m 2'
_symmetry_Int_Tables_number 119
_symmetry_space_group_name_Hall 'I -4 -2'
_cell_length_a 3.9957
_cell_length_b 3.9957
_cell_length_c 20.1836
_cell_angle_alpha 90.00
_cell_angle_beta 90.00
_cell_angle_gamma 90.00
loop_
_atom_site_label
_atom_site_type_symbol
_atom_site_fract_x
_atom_site_fract_y
_atom_site_fract_z
La1 La 0.0000 0.0000 0.1207
Zn1 Zn 0.0000 0.5000 0.2500
As1 As 0.0000 0.0000 0.3232
As2 As 0.0000 0.5000 0.0003
# Total energy = -78.490 eV per cell
# Crystal system = tetragonal
# Theoretical density = 6.6 Mg/m³

(5)
# LaZn2As (GGA-PBEsol, relaxed)
data_LaZn2As
_symmetry_space_group_name_H-M 'P 4/m m m'
_symmetry_Int_Tables_number 123
_symmetry_space_group_name_Hall '-P 4 2'
_cell_length_a 3.5686
_cell_length_b 3.5686
_cell_length_c 6.3919
_cell_angle_alpha 90.00
_cell_angle_beta 90.00
_cell_angle_gamma 90.00
loop_
_atom_site_label
_atom_site_type_symbol
_atom_site_fract_x
_atom_site_fract_y
_atom_site_fract_z
La1 La 0.0000 0.0000 0.0000
Zn1 Zn 0.5000 0.5000 0.3037
As1 As 0.0000 0.0000 0.5000
# Total energy = -14.622 eV per cell
# Crystal system = tetragonal
# Theoretical density = 7.0 Mg/m³

(6)
# LaZr2As (GGA-PBEsol, relaxed)
data_LaZr2As
_symmetry_space_group_name_H-M 'F -4 3 m'
_symmetry_Int_Tables_number 216
_symmetry_space_group_name_Hall 'F -4 2 3'
_cell_length_a 7.0998
_cell_length_b 7.0998
_cell_length_c 7.0998
_cell_angle_alpha 90.00
_cell_angle_beta 90.00
_cell_angle_gamma 90.00
loop_
_atom_site_label
_atom_site_type_symbol
_atom_site_fract_x
_atom_site_fract_y
_atom_site_fract_z
La1 La 0.0000 0.0000 0.0000
Zr1 Zr 0.0000 0.0000 0.5000
Zr2 Zr 0.2500 0.2500 0.2500
As1 As 0.2500 0.2500 0.7500
# Total energy = -116.613 eV per cell
# Crystal system = cubic
# Theoretical density = 7.4 Mg/m³

no.,magnetization (μB per formula unit)
1,0.00
2,0.00
3,0.00
4,0.00
5,0.00
6,0.00